Record 1
# TaMn2Cr PBE optimized geometry
# V   13.21 Å³ per atom
# Crystal system   orthorhombic
# Uncorrected energy   -9.81 eV/atom
# Formation energy from the elements   141 meV per atom
data_TaMn2Cr
_space_group_name_H-M_alt 'C m m m'
_space_group_IT_number 65
_space_group_name_Hall '-C 2 2'
_cell_length_a 3.0962
_cell_length_b 4.3139
_cell_length_c 7.9150
_cell_angle_alpha 90.00
_cell_angle_beta 90.00
_cell_angle_gamma 90.00
loop_
_atom_site_label
_atom_site_fract_x
_atom_site_fract_y
_atom_site_fract_z
Ta1 0.0000 0.0000 0.0000
Mn1 0.0000 0.5000 0.2727
Cr1 0.0000 0.0000 0.5000

=====

Record 2
# La6In5Sn PBE optimized geometry
# V   30.85 Å³ per atom
# Crystal system   orthorhombic
# Uncorrected energy   -4.49 eV/atom
# Formation energy from the elements   -551 meV per atom
data_La6In5Sn
_space_group_name_H-M_alt 'I m m m'
_space_group_IT_number 71
_space_group_name_Hall '-I 2 2'
_cell_length_a 5.5943
_cell_length_b 7.8822
_cell_length_c 16.7894
_cell_angle_alpha 90.00
_cell_angle_beta 90.00
_cell_angle_gamma 90.00
loop_
_atom_site_label
_atom_site_fract_x
_atom_site_fract_y
_atom_site_fract_z
La1 0.0000 0.2458 0.0000
La2 0.0000 0.2524 0.3353
In1 0.0000 0.0000 0.1726
In2 0.0000 0.0000 0.5000
In3 0.0000 0.5000 0.1661
Sn1 0.0000 0.5000 0.5000

=====

Record 3
# Nd7Ho5 PBE optimized geometry
# V   33.43 Å³ per atom
# Crystal system   monoclinic
# Excess energy over the best structure of this formula in the dataset   0.000 eV/atom
# Uncorrected energy   -4.68 eV/atom
# Formation energy from the elements   8 meV per atom
data_Nd7Ho5
_space_group_name_H-M_alt 'C 1 2/m 1'
_space_group_IT_number 12
_cell_length_a 18.8189
_cell_length_b 3.6385
_cell_length_c 13.2866
_cell_angle_alpha 90.00
_cell_angle_beta 118.12
_cell_angle_gamma 90.00
loop_
_space_group_symop_operation_xyz
'x,y,z'
'-x,-y,-z'
'-x,y,-z'
'x,-y,z'
'x+1/2,y+1/2,z'
'-x+1/2,-y+1/2,-z'
'-x+1/2,y+1/2,-z'
'x+1/2,-y+1/2,z'
loop_
_atom_site_label
_atom_site_fract_x
_atom_site_fract_y
_atom_site_fract_z
Nd1 0.0000 0.0000 0.0000
Nd2 0.0284 0.5000 0.2499
Nd3 0.1395 0.0000 0.7514
Nd4 0.1674 0.0000 0.5034
Ho1 0.0000 0.5000 0.5000
Ho2 0.1682 0.5000 0.0021
Ho3 0.1940 0.0000 0.2475

=====

Record 4
# Pr6ZnSi2Br3 PBE optimized geometry
# V   29.49 Å³ per atom
# Energy relative to the elements, uncorrected   -0.95 eV/atom
# Crystal system   monoclinic
# Uncorrected energy   -4.76 eV/atom
data_Pr6ZnSi2Br3
_space_group_name_H-M_alt 'C 1 2/m 1'
_space_group_IT_number 12
_cell_length_a 19.2233
_cell_length_b 4.2730
_cell_length_c 8.9388
_cell_angle_alpha 90.00
_cell_angle_beta 105.42
_cell_angle_gamma 90.00
loop_
_space_group_symop_operation_xyz
'x,y,z'
'-x,-y,-z'
'-x,y,-z'
'x,-y,z'
'x+1/2,y+1/2,z'
'-x+1/2,-y+1/2,-z'
'-x+1/2,y+1/2,-z'
'x+1/2,-y+1/2,z'
loop_
_atom_site_label
_atom_site_fract_x
_atom_site_fract_y
_atom_site_fract_z
Pr1 0.0074 0.0000 0.2386
Pr2 0.1620 0.5000 0.1049
Pr3 0.1750 0.5000 0.5622
Zn1 0.0000 0.5000 0.0000
Si1 0.1661 0.0000 0.3324
Br1 0.0000 0.5000 0.5000
Br2 0.1682 0.0000 0.8317

=====

Record 5
# SrAuSCl2 PBE optimized geometry
# V   36.57 Å³ per atom
# Energy relative to the elements, uncorrected   -0.40 eV/atom
# Crystal system   tetragonal
# Excess energy over the best structure of this formula in the dataset   0.536 eV/atom
# Uncorrected energy   -2.95 eV/atom
data_SrAuSCl2
_space_group_name_H-M_alt 'P 4/m m m'
_space_group_IT_number 123
_space_group_name_Hall '-P 4 2'
_cell_length_a 5.5204
_cell_length_b 5.5204
_cell_length_c 6.0000
_cell_angle_alpha 90.00
_cell_angle_beta 90.00
_cell_angle_gamma 90.00
loop_
_atom_site_label
_atom_site_fract_x
_atom_site_fract_y
_atom_site_fract_z
Sr1 0.0000 0.0000 0.0000
Au1 0.5000 0.5000 0.5000
S1 0.0000 0.0000 0.5000
Cl1 0.0000 0.5000 0.0000

=====

Record 6
# Ba2Ga2SnAu6 PBE optimized geometry
# V   26.93 Å³ per atom
# Crystal system   trigonal
# Uncorrected energy   -3.46 eV/atom
# Formation energy from the elements   -410 meV per atom
data_Ba2Ga2SnAu6
_space_group_name_H-M_alt 'R -3 m'
_space_group_IT_number 166
_space_group_name_Hall '-R 3 2"'
_cell_length_a 7.0632
_cell_length_b 7.0632
_cell_length_c 20.5711
_cell_angle_alpha 90.00
_cell_angle_beta 90.00
_cell_angle_gamma 120.00
loop_
_atom_site_label
_atom_site_fract_x
_atom_site_fract_y
_atom_site_fract_z
Ba1 0.0000 0.0000 0.2370
Ga1 0.0000 0.0000 0.0721
Sn1 0.0000 0.0000 0.5000
Au1 0.0640 0.5320 0.2829

=====

Record 7
# RePb2Br PBE optimized geometry
# V   25.62 Å³ per atom
# Energy relative to the elements, uncorrected   1.01 eV/atom
# Crystal system   cubic
# Excess energy over the best structure of this formula in the dataset   0.457 eV/atom
# Uncorrected energy   -4.37 eV/atom
data_RePb2Br
_space_group_name_H-M_alt 'F m -3 m'
_space_group_IT_number 225
_space_group_name_Hall '-F 4 2 3'
_cell_length_a 7.4280
_cell_length_b 7.4280
_cell_length_c 7.4280
_cell_angle_alpha 90.00
_cell_angle_beta 90.00
_cell_angle_gamma 90.00
loop_
_atom_site_label
_atom_site_fract_x
_atom_site_fract_y
_atom_site_fract_z
Re1 0.0000 0.0000 0.0000
Pb1 0.2500 0.2500 0.2500
Br1 0.0000 0.0000 0.5000

=====

Record 8
# Cd5Sb2As PBE optimized geometry
# V   29.57 Å³ per atom
# Energy relative to the elements, uncorrected   -0.01 eV/atom
# Crystal system   orthorhombic
# Uncorrected energy   -2.19 eV/atom
data_Cd5Sb2As
_space_group_name_H-M_alt 'P n m a'
_space_group_IT_number 62
_cell_length_a 10.2530
_cell_length_b 4.6602
_cell_length_c 19.8028
_cell_angle_alpha 90.00
_cell_angle_beta 90.00
_cell_angle_gamma 90.00
loop_
_space_group_symop_operation_xyz
'x,y,z'
'-x,-y,-z'
'-x+1/2,-y,z+1/2'
'x+1/2,y,-z+1/2'
'x+1/2,-y+1/2,-z+1/2'
'-x+1/2,y+1/2,z+1/2'
'-x,y+1/2,-z'
'x,-y+1/2,z'
loop_
_atom_site_label
_atom_site_fract_x
_atom_site_fract_y
_atom_site_fract_z
Cd1 0.0896 0.2500 0.1542
Cd2 0.1080 0.2500 0.6820
Cd3 0.1208 0.2500 0.4925
Cd4 0.1378 0.2500 0.9975
Cd5 0.1928 0.2500 0.3311
Sb1 0.1214 0.7500 0.5898
Sb2 0.1343 0.7500 0.2449
As1 0.1245 0.7500 0.9293

=====

Record 9
# Ba2CdInPt PBE optimized geometry
# V   39.60 Å³ per atom
# Crystal system   tetragonal
# Excess energy over the best structure of this formula in the dataset   0.000 eV/atom
# Uncorrected energy   -3.16 eV/atom
# Formation energy from the elements   -454 meV per atom
data_Ba2CdInPt
_space_group_name_H-M_alt 'P 4/m m m'
_space_group_IT_number 123
_space_group_name_Hall '-P 4 2'
_cell_length_a 6.1685
_cell_length_b 6.1685
_cell_length_c 5.2037
_cell_angle_alpha 90.00
_cell_angle_beta 90.00
_cell_angle_gamma 90.00
loop_
_atom_site_label
_atom_site_fract_x
_atom_site_fract_y
_atom_site_fract_z
Ba1 0.0000 0.5000 0.0000
Cd1 0.0000 0.0000 0.5000
In1 0.5000 0.5000 0.5000
Pt1 0.5000 0.5000 0.0000

=====

Record 10
# Mg2ScHRh PBE optimized geometry
# V   14.83 Å³ per atom
# Crystal system   tetragonal
# Uncorrected energy   -4.40 eV/atom
data_Mg2ScHRh
_space_group_name_H-M_alt 'P 4/m m m'
_space_group_IT_number 123
_space_group_name_Hall '-P 4 2'
_cell_length_a 4.0379
_cell_length_b 4.0379
_cell_length_c 4.5466
_cell_angle_alpha 90.00
_cell_angle_beta 90.00
_cell_angle_gamma 90.00
loop_
_atom_site_label
_atom_site_fract_x
_atom_site_fract_y
_atom_site_fract_z
Mg1 0.0000 0.5000 0.0000
Sc1 0.0000 0.0000 0.5000
H1 0.0000 0.0000 0.0000
Rh1 0.5000 0.5000 0.5000

=====

Record 11
# CeBeC PBE optimized geometry
# V   16.24 Å³ per atom
# Crystal system   tetragonal
# Excess energy over the best structure of this formula in the dataset   0.772 eV/atom
# Uncorrected energy   -5.70 eV/atom
# Formation energy from the elements   593 meV per atom
data_CeBeC
_space_group_name_H-M_alt 'I 4 m m'
_space_group_IT_number 107
_space_group_name_Hall 'I 4 -2'
_cell_length_a 3.8313
_cell_length_b 3.8313
_cell_length_c 6.6360
_cell_angle_alpha 90.00
_cell_angle_beta 90.00
_cell_angle_gamma 90.00
loop_
_atom_site_label
_atom_site_fract_x
_atom_site_fract_y
_atom_site_fract_z
Ce1 0.0000 0.0000 0.0000
Be1 0.0000 0.0000 0.6022
C1 0.0000 0.0000 0.3576

=====

Record 12
# Ba2HfMn2 PBE optimized geometry
# V   32.38 Å³ per atom
# Crystal system   tetragonal
# Excess energy over the best structure of this formula in the dataset   0.300 eV/atom
# Uncorrected energy   -5.04 eV/atom
# Formation energy from the elements   1389 meV per atom
data_Ba2HfMn2
_space_group_name_H-M_alt 'I 4/m m m'
_space_group_IT_number 139
_space_group_name_Hall '-I 4 2'
_cell_length_a 5.5949
_cell_length_b 5.5949
_cell_length_c 10.3452
_cell_angle_alpha 90.00
_cell_angle_beta 90.00
_cell_angle_gamma 90.00
loop_
_atom_site_label
_atom_site_fract_x
_atom_site_fract_y
_atom_site_fract_z
Ba1 0.0000 0.0000 0.1505
Hf1 0.0000 0.0000 0.5000
Mn1 0.0000 0.5000 0.2500